6
Lattice="0.000 3.291 3.291 3.291 0.000 3.291 3.291 3.291 0.000" Properties=species:S:1:pos:R:3 comment="PBE ReNi4Rh, optimized geometry" space_group=F-43m pbc="T T T"
Re 0.000 0.000 0.000
Ni 2.466 2.466 2.466
Ni 4.117 4.117 2.466
Ni 4.117 2.466 4.117
Ni 2.466 4.117 4.117
Rh 4.937 4.937 4.937

---

16
Lattice="5.874 0.000 0.000 0.000 5.874 0.000 0.000 0.000 5.874" Properties=species:S:1:pos:R:3 comment="PBE ReNi2Rh, optimized geometry" space_group=Fm-3m pbc="T T T"
Re 0.000 0.000 0.000
Re 0.000 2.937 2.937
Re 2.937 0.000 2.937
Re 2.937 2.937 0.000
Ni 1.468 1.468 1.468
Ni 1.468 1.468 4.405
Ni 1.468 4.405 1.468
Ni 1.468 4.405 4.405
Ni 4.405 1.468 1.468
Ni 4.405 1.468 4.405
Ni 4.405 4.405 1.468
Ni 4.405 4.405 4.405
Rh 0.000 0.000 2.937
Rh 0.000 2.937 0.000
Rh 2.937 0.000 0.000
Rh 2.937 2.937 2.937

---

Which DFT formation energy belongs to each record? In order, 49; 139 meV/atom.